Record 1
VASP calculation (PBE-GGA) on crystalline Ba2NaAlBi at its relaxed geometry.

a b c (Å): 6.792 5.735 6.792
angles (deg): 90.00 90.00 90.00
Site moments in Bohr magnetons follow the coordinates.
Fractional positions:
Al  0.500  0.500  0.500  0.08
Na  0.000  0.500  0.000  0.00
Bi  0.000  0.000  0.000  0.01
Ba  0.000  0.000  0.500  0.03
Ba  0.500  0.000  0.000  0.05

Summary:
Volume: 264.5 Å³ per cell
Formation energy: 8.2 kJ/mol of formula units
Total moment: 1.1 μB per formula unit

Record 2
VASP calculation (PBE-GGA) on crystalline NaIrSe2Br at its relaxed geometry.

a b c (Å): 5.074 5.074 5.061
angles (deg): 90.00 90.00 90.00
Site moments in Bohr magnetons follow the coordinates.
Fractional positions:
Ir  0.500  0.500  0.500  1.91
Se  0.500  0.000  0.000  0.23
Se  0.000  0.500  0.000  0.23
Br  0.000  0.000  0.500  0.25
Na  0.000  0.000  0.000  0.00

Summary:
Volume: 130.3 Å³ per cell
Total moment: 3.0 μB per formula unit
Relative energy among the computed polymorphs: 1.430 eV/atom

Record 3
VASP calculation (PBE-GGA) on crystalline TlReIO2 at its relaxed geometry.

a b c (Å): 3.991 6.041 3.991
angles (deg): 90.00 90.00 90.00
Fractional positions:
Tl  0.000  0.500  0.000
O  0.500  0.000  0.000
O  0.000  0.000  0.500
Re  0.000  0.000  0.000
I  0.500  0.500  0.500

Summary:
Volume: 96.2 Å³ per cell
Total moment: 0.0 μB per formula unit
Relative energy among the computed polymorphs: 0.000 eV/atom

Record 4
VASP calculation (PBE-GGA) on crystalline MgPb3 at its relaxed geometry.

a b c (Å): 9.200 9.200 9.702
angles (deg): 90.00 90.00 120.00
Fractional positions:
Mg  0.328  0.000  0.071
Mg  0.672  0.672  0.071
Mg  0.672  0.000  0.571
Mg  0.000  0.328  0.071
Mg  0.328  0.328  0.571
Mg  0.000  0.672  0.571
Pb  0.281  0.000  0.745
Pb  0.667  0.333  0.122
Pb  0.719  0.000  0.245
Pb  0.281  0.281  0.245
Pb  0.000  0.383  0.398
Pb  0.000  0.617  0.898
Pb  0.000  0.281  0.745
Pb  0.333  0.667  0.122
Pb  0.383  0.000  0.398
Pb  0.617  0.000  0.898
Pb  0.000  0.000  0.495
Pb  0.719  0.719  0.745
Pb  0.333  0.667  0.622
Pb  0.383  0.383  0.898
Pb  0.667  0.333  0.622
Pb  0.000  0.000  0.995
Pb  0.617  0.617  0.398
Pb  0.000  0.719  0.245

Summary:
Volume: 711.2 Å³ per cell
Formation energy: 12.2 kJ/mol of formula units
Total moment: 0.0 μB per formula unit

Record 5
VASP calculation (PBE-GGA) on crystalline Y2Tm4Sc at its relaxed geometry.

a b c (Å): 6.108 6.383 11.249
angles (deg): 90.00 105.87 90.00
Fractional positions:
Tm  0.351  0.498  0.713
Tm  0.649  0.502  0.287
Tm  0.140  0.750  0.438
Tm  0.351  0.002  0.713
Tm  0.967  0.250  0.135
Tm  0.649  0.998  0.287
Tm  0.033  0.750  0.865
Tm  0.860  0.250  0.562
Y  0.619  0.750  0.001
Y  0.291  0.250  0.426
Y  0.381  0.250  0.999
Y  0.709  0.750  0.574
Sc  0.833  0.250  0.838
Sc  0.167  0.750  0.162

Summary:
Volume: 421.9 Å³ per cell
Formation energy: 97.4 kJ/mol of formula units
Total moment: 0.0 μB per formula unit
Relative energy among the computed polymorphs: 0.000 eV/atom

Record 6
VASP calculation (PBE-GGA) on crystalline BaSbO4 at its relaxed geometry.

a b c (Å): 3.962 3.962 6.336
angles (deg): 90.00 90.00 90.00
Site moments in Bohr magnetons follow the coordinates.
Fractional positions:
Sb  0.500  0.500  0.500  -0.02
O  0.500  0.500  0.193  0.20
O  0.500  0.500  0.807  0.20
O  0.500  0.000  0.500  0.24
O  0.000  0.500  0.500  0.24
Ba  0.000  0.000  0.000  0.00

Summary:
Volume: 99.4 Å³ per cell
Total moment: 1.0 μB per formula unit
Raw total energy: -5.88 eV/atom

Record 7
VASP calculation (PBE-GGA) on crystalline Nd6Si2PbI3 at its relaxed geometry.

a b c (Å): 4.406 9.247 10.234
angles (deg): 105.71 102.43 90.00
Fractional positions:
Nd  0.981  0.753  0.962
Nd  0.679  0.560  0.358
Nd  0.335  0.867  0.669
Nd  0.665  0.133  0.331
Nd  0.321  0.440  0.642
Nd  0.019  0.247  0.038
Pb  0.500  0.000  0.000
I  0.836  0.164  0.672
I  0.164  0.836  0.328
I  0.500  0.500  0.000
Si  0.831  0.658  0.663
Si  0.169  0.342  0.337

Summary:
Volume: 391.2 Å³ per cell
Total moment: 0.0 μB per formula unit
Raw total energy: -4.87 eV/atom

Record 8
VASP calculation (PBE-GGA) on crystalline Pr2Nd2Sm at its relaxed geometry.

a b c (Å): 6.276 6.281 8.995
angles (deg): 110.89 110.85 32.77
Fractional positions:
Sm  0.000  0.000  0.000
Nd  0.108  0.106  0.411
Nd  0.892  0.894  0.589
Pr  0.678  0.677  0.799
Pr  0.322  0.323  0.201

Summary:
Volume: 178.2 Å³ per cell
Formation energy: 61.5 kJ/mol of formula units
Total moment: 0.0 μB per formula unit
Relative energy among the computed polymorphs: 0.000 eV/atom

| no. | theoretical density (g/cm3) |
| --- | --- |
| 1 | 3.35 |
| 2 | 5.77 |
| 3 | 9.48 |
| 4 | 9.05 |
| 5 | 7.07 |
| 6 | 5.40 |
| 7 | 6.41 |
| 8 | 6.72 |